(1)
The following is a PBE calculation of a geometry-optimized Te2AuSe structure, from Alexandria via LeMat-Bulk.

Output
Offset from the most stable computed form   47.6 meV per atom

Cell: 4.152 3.073 8.918 Å, 111.26 90.00 90.00°
Element x y z (fractional)
Te 0.000 0.025 0.025
Te 0.000 0.475 0.475
Au 0.500 0.250 0.250
Se 0.500 0.750 0.750



(2)
The following is a PBE calculation of a geometry-optimized TeAu2Se structure, from Alexandria via LeMat-Bulk.

Output
Offset from the most stable computed form   101.5 meV per atom

Cell: 3.989 3.989 7.102 Å, 73.69 73.69 60.00°
Element x y z (fractional)
Te 0.669 0.669 0.992
Se 0.495 0.495 0.516
Au 0.248 0.248 0.255
Au 0.088 0.088 0.737



(3)
The following is a PBE calculation of a geometry-optimized Te2AuSe structure, from Alexandria via LeMat-Bulk.

Output
Offset from the most stable computed form   19.5 meV per atom

Cell: 4.181 5.134 5.134 Å, 68.49 90.00 90.00°
Element x y z (fractional)
Te 0.000 0.000 0.000
Te 0.500 0.271 0.271
Se 0.500 0.723 0.723
Au 0.000 0.506 0.506



(4)
The following is a PBE calculation of a geometry-optimized TeAu2Se structure, from Alexandria via LeMat-Bulk.

Output
Offset from the most stable computed form   67.7 meV per atom

Cell: 4.227 4.226 7.341 Å, 90.01 89.99 120.07°
Element x y z (fractional)
Au 0.403 0.829 0.543
Au 0.736 0.495 0.073
Se 0.403 0.828 0.197
Te 0.736 0.496 0.706



(5)
The following is a PBE calculation of a geometry-optimized TeAu2Se2 structure, from Alexandria via LeMat-Bulk.

Output
Offset from the most stable computed form   0.0 meV per atom

Cell: 8.098 8.098 3.513 Å, 90.00 90.00 90.00°
Element x y z (fractional)
Se 0.206 0.294 0.000
Se 0.294 0.794 0.000
Se 0.794 0.706 0.000
Se 0.706 0.206 0.000
Au 0.617 0.883 0.500
Au 0.883 0.383 0.500
Au 0.383 0.117 0.500
Au 0.117 0.617 0.500
Te 0.000 0.000 0.000
Te 0.500 0.500 0.000



(6)
The following is a PBE calculation of a geometry-optimized Te2AuSe structure, from Alexandria via LeMat-Bulk.

Output
Offset from the most stable computed form   25.1 meV per atom

Cell: 4.144 4.144 5.981 Å, 90.00 90.00 90.00°
Element x y z (fractional)
Se 0.500 0.500 0.875
Au 0.000 0.000 0.375
Te 0.500 0.500 0.375
Te 0.000 0.000 0.875



What are the uncorrected formation energy values for these records? In order: 0.033 0.095 0.005 0.061 0.271 0.010 eV per atom.
What are the total moment values for these records? In order: 0.000 0.000 0.000 0.000 0.000 0.000 μB per atom.